1.
Material: Ni5SbAs
Method: DFT, PBE
State: optimized geometry

Values from the calculation:
Symmetry: No. 123
Electronic total energy, hartree per atom: -0.2049

Cell lengths 3.806, 3.806, 6.395 Å; angles 90.00, 90.00, 90.00 degrees
Fractional coordinates of all 7 atoms:
Ni1 0.000 0.000 0.000
Ni2 0.000 0.500 0.283
Ni3 0.000 0.500 0.717
Ni4 0.500 0.000 0.283
Ni5 0.500 0.000 0.717
Sb1 0.500 0.500 0.000
As1 0.000 0.000 0.500

2.
Material: NiSb2As
Method: DFT, PBE
State: optimized geometry

Values from the calculation:
Symmetry: No. 8
Electronic total energy, hartree per atom: -0.1706

Cell lengths 6.656, 3.906, 6.941 Å; angles 90.00, 109.47, 90.00 degrees
Fractional coordinates of all 8 atoms:
Ni1 0.000 0.000 0.000
Ni2 0.500 0.500 0.000
Sb1 0.264 0.000 0.791
Sb2 0.480 0.000 0.454
Sb3 0.764 0.500 0.791
Sb4 0.980 0.500 0.454
As1 0.223 0.500 0.166
As2 0.723 0.000 0.166

3.
Material: Ni9Sb2As
Method: DFT, PBE
State: optimized geometry

Values from the calculation:
Symmetry: No. 123
Electronic total energy, hartree per atom: -0.2039

Cell lengths 3.696, 3.696, 11.006 Å; angles 90.00, 90.00, 90.00 degrees
Fractional coordinates of all 12 atoms:
Ni1 0.000 0.000 0.000
Ni2 0.000 0.000 0.328
Ni3 0.000 0.000 0.672
Ni4 0.000 0.500 0.156
Ni5 0.000 0.500 0.500
Ni6 0.000 0.500 0.844
Ni7 0.500 0.000 0.156
Ni8 0.500 0.000 0.500
Ni9 0.500 0.000 0.844
Sb1 0.500 0.500 0.329
Sb2 0.500 0.500 0.671
As1 0.500 0.500 0.000

4.
Material: NiSb2As
Method: DFT, PBE
State: optimized geometry

Values from the calculation:
Symmetry: No. 38
Electronic total energy, hartree per atom: -0.1723

Cell lengths 3.717, 5.235, 8.667 Å; angles 90.00, 90.00, 90.00 degrees
Fractional coordinates of all 8 atoms:
Ni1 0.000 0.000 0.000
Ni2 0.000 0.500 0.500
Sb1 0.000 0.000 0.517
Sb2 0.000 0.500 0.017
Sb3 0.500 0.000 0.207
Sb4 0.500 0.500 0.707
As1 0.500 0.000 0.824
As2 0.500 0.500 0.324

5.
Material: NiSbAs2
Method: DFT, PBE
State: optimized geometry

Values from the calculation:
Symmetry: No. 6
Electronic total energy, hartree per atom: -0.1709

Cell lengths 3.611, 3.397, 6.625 Å; angles 90.00, 94.39, 90.00 degrees
Fractional coordinates of all 4 atoms:
Ni1 0.000 0.000 0.000
Sb1 0.460 0.500 0.819
As1 0.267 0.000 0.388
As2 0.785 0.500 0.245

6.
Material: NiSb2As
Method: DFT, PBE
State: optimized geometry

Values from the calculation:
Symmetry: No. 122
Electronic total energy, hartree per atom: -0.1698

Cell lengths 5.992, 5.992, 11.900 Å; angles 90.00, 90.00, 90.00 degrees
Fractional coordinates of all 16 atoms:
Ni1 0.000 0.000 0.000
Ni2 0.000 0.500 0.250
Ni3 0.500 0.000 0.750
Ni4 0.500 0.500 0.500
Sb1 0.206 0.250 0.125
Sb2 0.250 0.706 0.375
Sb3 0.250 0.794 0.875
Sb4 0.294 0.250 0.625
Sb5 0.706 0.750 0.625
Sb6 0.750 0.206 0.875
Sb7 0.750 0.294 0.375
Sb8 0.794 0.750 0.125
As1 0.000 0.000 0.500
As2 0.000 0.500 0.750
As3 0.500 0.000 0.250
As4 0.500 0.500 0.000

7.
Material: NiSb2As
Method: DFT, PBE
State: optimized geometry

Values from the calculation:
Symmetry: No. 47
Electronic total energy, hartree per atom: -0.1634

Cell lengths 3.099, 3.451, 7.587 Å; angles 90.00, 90.00, 90.00 degrees
Fractional coordinates of all 4 atoms:
Ni1 0.000 0.000 0.000
Sb1 0.500 0.500 0.213
Sb2 0.500 0.500 0.787
As1 0.000 0.000 0.500

8.
Material: NiSbAs2
Method: DFT, PBE
State: optimized geometry

Values from the calculation:
Symmetry: No. 71
Electronic total energy, hartree per atom: -0.1713

Cell lengths 3.041, 4.770, 10.753 Å; angles 90.00, 90.00, 90.00 degrees
Fractional coordinates of all 8 atoms:
Ni1 0.000 0.000 0.000
Ni2 0.500 0.500 0.500
Sb1 0.000 0.000 0.500
Sb2 0.500 0.500 0.000
As1 0.000 0.500 0.320
As2 0.000 0.500 0.680
As3 0.500 0.000 0.180
As4 0.500 0.000 0.820